No. 1
Below is a relaxed structure of Be2AlCu, with properties calculated at the PBE level.

```
Be2AlCu
1.0
4.2463 -0.0044 -0.0176
3.4074 2.5340 -0.0176
0.7433 0.2456 4.1533
Be Al Cu
2 1 1
Direct
0.9949 0.9949 0.0203
0.5051 0.5051 0.4797
0.7500 0.7500 0.7500
0.2500 0.2500 0.2500
```

Computed properties:
Its symmetry is No. 12. The energy comes out at -14.921 eV per formula unit. The value obtained for the formation energy is 0.09 eV per atom.

---

No. 2
Below is a relaxed structure of Tb2HfSc, with properties calculated at the PBE level.

```
Tb2HfSc
1.0
-0.0726 2.4709 2.3106
1.3233 -0.5161 3.0711
10.1020 4.2700 -1.7712
Tb Hf Sc
2 1 1
Direct
0.0810 0.0810 0.7570
0.2523 0.2523 0.2431
0.6667 0.6667 0.9998
0.5000 0.5000 0.5001
```

Computed properties:
The offset from the most stable computed form comes out at 0.009 eV per atom. Its symmetry is No. 160. The energy comes out at -25.023 eV per formula unit. The value obtained for the formation energy is 0.13 eV per atom.

---

No. 3
Below is a relaxed structure of PmCo2Ge4, with properties calculated at the PBE level.

```
PmCo2Ge4
1.0
4.0917 0.0000 0.0000
0.0000 6.4937 0.0000
0.0000 0.0000 17.1995
Ge Co Pm
16 8 4
Direct
0.2500 0.2942 0.7004
0.7500 0.7058 0.2996
0.7500 0.7942 0.7996
0.2500 0.2058 0.2004
0.2500 0.6991 0.6793
0.7500 0.3009 0.3207
0.7500 0.1991 0.8207
0.2500 0.8009 0.1793
0.2500 0.1398 0.5272
0.7500 0.8602 0.4728
0.7500 0.6398 0.9728
0.2500 0.3602 0.0272
0.2500 0.4802 0.4326
0.7500 0.5198 0.5674
0.7500 0.9802 0.0674
0.2500 0.0198 0.9326
0.2500 0.7456 0.5335
0.7500 0.2544 0.4665
0.7500 0.2456 0.9665
0.2500 0.7544 0.0335
0.2500 0.9975 0.7905
0.7500 0.0025 0.2095
0.7500 0.4975 0.7095
0.2500 0.5025 0.2905
0.7500 0.0153 0.6404
0.2500 0.9847 0.3596
0.2500 0.5153 0.8596
0.7500 0.4847 0.1404
```

Computed properties:
The offset from the most stable computed form comes out at 0.000 eV per atom. Its symmetry is No. 62. The energy comes out at -40.406 eV per formula unit. The value obtained for the formation energy is -0.42 eV per atom.

---

No. 4
Below is a relaxed structure of LiPm2NbO6, with properties calculated at the PBE level.

```
LiPm2NbO6
1.0
5.6797 0.0001 0.0001
2.8399 4.9189 0.0000
2.8398 1.6399 4.7812
Li Pm Nb O
1 2 1 6
Direct
0.8036 0.8036 0.5892
0.5357 0.5357 0.3930
0.0377 0.0377 0.8869
0.3139 0.3139 0.0582
0.5781 0.1829 0.2565
0.1829 0.9824 0.2565
0.9824 0.5782 0.2565
0.4490 0.6660 0.7728
0.6660 0.1122 0.7728
0.1122 0.4490 0.7728
```

Computed properties:
Its symmetry is No. 146. The energy comes out at -80.695 eV per formula unit. Its formation energy (no corrections) is -2946 meV/atom.

---

No. 5
Below is a relaxed structure of Mn2Cu7PtAu2, with properties calculated at the PBE level.

```
Mn2Cu7PtAu2
1.0
-0.0473 -0.4354 -3.5072
1.9049 -2.9578 0.3398
-10.9912 -9.1104 -0.3961
Mn Cu Pt Au
2 7 1 2
Direct
0.6345 0.6345 0.7220
0.3655 0.3655 0.2780
0.5000 0.5000 0.0000
0.2732 0.2732 0.4587
0.7268 0.7268 0.5413
0.9335 0.4343 0.1413
0.4343 0.9335 0.1413
0.5657 0.0665 0.8587
0.0665 0.5657 0.8587
0.0000 0.0000 0.0000
0.8261 0.8261 0.3579
0.1739 0.1739 0.6421
```

Computed properties:
Its symmetry is No. 12. The energy comes out at -58.067 eV per formula unit. The value obtained for the formation energy is 0.13 eV per atom.

---

No. 6
Below is a relaxed structure of CaTm3Rh4, with properties calculated at the PBE level.

```
CaTm3Rh4
1.0
4.5822 0.0000 1.3526
2.0914 4.0770 1.3526
0.0408 0.0249 8.2997
Ca Tm Rh
1 3 4
Direct
0.0000 0.0000 0.0000
0.2514 0.2514 0.2458
0.7486 0.7486 0.7542
0.5000 0.5000 0.5000
0.8723 0.8723 0.3832
0.3783 0.3783 0.8650
0.1277 0.1277 0.6168
0.6217 0.6217 0.1350
```

Computed properties:
Its symmetry is No. 166. The energy comes out at -51.491 eV per formula unit. The value obtained for the formation energy is -0.83 eV per atom.

---

| no. | D(E_F) (states/eV/atom) | volume (Å³ per atom) |
| --- | --- | --- |
| 1 | 0.200 | 11.2 |
| 2 | 1.750 | 27.1 |
| 3 | 0.452 | 16.3 |
| 4 | 0.000 | 13.4 |
| 5 | 0.440 | 14.7 |
| 6 | 0.315 | 19.3 |